A geometry-optimized Cs2NiIF6 structure, computed with GGA+U.

Summary:
Calculated total energy, eV/cell: -74.61
M_tot, μB/atom: 0.100

a = 6.923 Å, b = 6.923 Å, c = 8.573 Å
α = 90.00°, β = 90.00°, γ = 90.00°
Space group I4/mmm (No. 139)
Inequivalent atoms, fractional coordinates:
Cs1 0.000 0.500 0.250
Ni1 0.000 0.000 0.000
I1 0.000 0.000 0.500
F1 0.000 0.000 0.257
F2 0.196 0.196 0.000